# 1
The following is a DFT calculation (GGA-PBE) of MnSi2Se after structural relaxation.

Values from the calculation:
Its total energy is -5.686 eV per atom. As for the spin magnetization: 0.3955 μB per atom. As for the space-group type: P4/mmm (123). The raw formation energy comes out at 0.189 eV per atom.

abc: 2.551 2.551 11.166
angles: 90.00 90.00 90.00
Sites, in units of the cell vectors:
Mn 0.500 0.500 0.250
Se 0.500 0.500 0.750
Si 0.000 0.000 0.087
Si 0.000 0.000 0.413

# 2
The following is a DFT calculation (GGA-PBE) of MnSi2Se after structural relaxation.

Values from the calculation:
Its total energy is -5.731 eV per atom. As for the spin magnetization: 0.0000 μB per atom. As for the space-group type: P4mm (99). The raw formation energy comes out at 0.144 eV per atom.

abc: 2.943 2.943 7.095
angles: 90.00 90.00 90.00
Sites, in units of the cell vectors:
Mn 0.000 0.000 0.468
Se 0.500 0.500 0.674
Si 0.000 0.000 0.076
Si 0.500 0.500 0.282

# 3
The following is a DFT calculation (GGA-PBE) of MnSiSe2 after structural relaxation.

Values from the calculation:
Its total energy is -5.541 eV per atom. As for the spin magnetization: 1.2127 μB per atom. As for the space-group type: Pmm2 (25). The raw formation energy comes out at -0.150 eV per atom.

abc: 5.409 3.835 3.918
angles: 90.01 90.00 90.00
Sites, in units of the cell vectors:
Mn 0.500 0.875 0.875
Se 0.000 0.875 0.843
Se 0.500 0.375 0.369
Si 0.000 0.375 0.413

# 4
The following is a DFT calculation (GGA-PBE) of MnSiSe2 after structural relaxation.

Values from the calculation:
Its total energy is -5.290 eV per atom. As for the spin magnetization: 0.6858 μB per atom. As for the space-group type: R-3m (166). The raw formation energy comes out at 0.100 eV per atom.

abc: 8.335 8.335 8.335
angles: 22.70 22.70 22.70
Sites, in units of the cell vectors:
Mn 0.750 0.750 0.750
Se 0.019 0.019 0.019
Se 0.481 0.481 0.481
Si 0.250 0.250 0.250

Question: Which value of raw formation energy does entry 1 give?
Answer: 0.189 eV per atom